No. 1
! Tl2WI GGA-PBE optimized geometry; values from VASP
! * total magnetization: 1.199 μB/atom
! * polymorph energy (0 for the lowest one): 0.094 eV per atom
! * formation energy from raw total energies: 1330 meV/atom
! * space-group type: No. 225
&SYSTEM
  ibrav = 0, nat = 4, ntyp = 3
/
ATOMIC_SPECIES
Tl 204.38 Tl.upf
W 183.84 W.upf
I 126.90 I.upf
ATOMIC_POSITIONS crystal
Tl 0.250 0.250 0.250
Tl 0.750 0.750 0.750
W 0.000 0.000 0.000
I 0.500 0.500 0.500
CELL_PARAMETERS angstrom
0.000 3.967 3.967
3.967 0.000 3.967
3.967 3.967 0.000



No. 2
! Tl2WI GGA-PBE optimized geometry; values from VASP
! * total magnetization: 0.719 μB/atom
! * polymorph energy (0 for the lowest one): 0.000 eV per atom
! * formation energy from raw total energies: 1235 meV/atom
! * space-group type: No. 122
&SYSTEM
  ibrav = 0, nat = 8, ntyp = 3
/
ATOMIC_SPECIES
Tl 204.38 Tl.upf
W 183.84 W.upf
I 126.90 I.upf
ATOMIC_POSITIONS crystal
Tl 0.009 0.625 0.884
Tl 0.375 0.259 0.384
Tl 0.741 0.125 0.116
Tl 0.875 0.991 0.616
W 0.000 0.000 0.000
W 0.750 0.250 0.500
I 0.250 0.750 0.500
I 0.500 0.500 0.000
CELL_PARAMETERS angstrom
-2.902 2.902 9.036
2.902 -2.902 9.036
2.902 2.902 -9.036



No. 3
! TlWI2 GGA-PBE optimized geometry; values from VASP
! * total magnetization: 0.000 μB/atom
! * polymorph energy (0 for the lowest one): 0.000 eV per atom
! * formation energy from raw total energies: 609 meV/atom
! * space-group type: No. 122
&SYSTEM
  ibrav = 0, nat = 8, ntyp = 3
/
ATOMIC_SPECIES
Tl 204.38 Tl.upf
W 183.84 W.upf
I 126.90 I.upf
ATOMIC_POSITIONS crystal
Tl 0.000 0.000 0.000
Tl 0.750 0.250 0.500
W 0.250 0.750 0.500
W 0.500 0.500 0.000
I 0.261 0.125 0.636
I 0.375 0.739 0.864
I 0.489 0.625 0.364
I 0.875 0.511 0.136
CELL_PARAMETERS angstrom
-4.786 4.786 2.889
4.786 -4.786 2.889
4.786 4.786 -2.889



No. 4
! TlWI2 GGA-PBE optimized geometry; values from VASP
! * total magnetization: 0.254 μB/atom
! * polymorph energy (0 for the lowest one): 0.610 eV per atom
! * formation energy from raw total energies: 1218 meV/atom
! * space-group type: No. 225
&SYSTEM
  ibrav = 0, nat = 4, ntyp = 3
/
ATOMIC_SPECIES
Tl 204.38 Tl.upf
W 183.84 W.upf
I 126.90 I.upf
ATOMIC_POSITIONS crystal
Tl 0.000 0.000 0.000
W 0.500 0.500 0.500
I 0.250 0.250 0.250
I 0.750 0.750 0.750
CELL_PARAMETERS angstrom
0.000 3.717 3.717
3.717 0.000 3.717
3.717 3.717 0.000



No. 5
! TlZnW2I GGA-PBE optimized geometry; values from VASP
! * total magnetization: 0.332 μB/atom
! * formation energy from raw total energies: 2067 meV/atom
! * space-group type: No. 123
&SYSTEM
  ibrav = 0, nat = 5, ntyp = 4
/
ATOMIC_SPECIES
Tl 204.38 Tl.upf
Zn 65.41 Zn.upf
W 183.84 W.upf
I 126.90 I.upf
ATOMIC_POSITIONS crystal
Tl 0.000 0.000 0.000
Zn 0.000 0.000 0.500
W 0.000 0.500 0.500
W 0.500 0.000 0.500
I 0.500 0.500 0.000
CELL_PARAMETERS angstrom
4.884 0.000 0.000
0.000 4.884 0.000
0.000 0.000 4.934



No. 6
! YTl2I5 GGA-PBE optimized geometry; values from VASP
! * total magnetization: 0.000 μB/atom
! * polymorph energy (0 for the lowest one): 0.047 eV per atom
! * formation energy from raw total energies: -972 meV/atom
! * space-group type: No. 107
&SYSTEM
  ibrav = 0, nat = 8, ntyp = 3
/
ATOMIC_SPECIES
Y 88.91 Y.upf
Tl 204.38 Tl.upf
I 126.90 I.upf
ATOMIC_POSITIONS crystal
Y 0.000 0.000 0.000
Tl 0.185 0.685 0.500
Tl 0.685 0.185 0.500
I 0.300 0.300 0.486
I 0.300 0.814 0.000
I 0.789 0.789 0.000
I 0.814 0.300 0.000
I 0.814 0.814 0.514
CELL_PARAMETERS angstrom
-4.222 4.222 6.803
4.222 -4.222 6.803
4.222 4.222 -6.803